Entry 1:
{
  "formula": "Na3Nd3GeO8",
  "functional": "GGA-PBE",
  "state": "relaxed",
  "space_group": "R-3m, No. 166",
  "energy_ev_per_fu": -98.10,
  "e_form_raw_mev_per_atom": -2370,
  "cell": [[6.9321, 0.0000, 0.0000], [-3.4661, 6.0035, -0.0201], [0.0000, -3.9833, 5.5746]],
  "species": ["O", "O", "O", "O", "O", "O", "O", "O", "Na", "Na", "Na", "Ge", "Nd", "Nd", "Nd"],
  "frac_coords": [[0.2064, 0.4127, 0.6960], [0.7936, 0.0104, 0.3040], [0.7388, 0.4777, 0.7166], [0.2167, 0.0104, 0.3040], [0.7936, 0.5873, 0.3040], [0.2612, 0.5223, 0.2834], [0.7833, 0.9896, 0.6960], [0.2064, 0.9896, 0.6960], [0.0000, 0.5000, 0.0000], [0.5000, 0.5000, 0.0000], [0.0000, 0.0000, 0.0000], [0.0000, 0.0000, 0.5000], [0.5000, 0.5000, 0.5000], [0.0000, 0.5000, 0.5000], [0.5000, 0.0000, 0.5000]]
}

Entry 2:
{
  "formula": "NaNdGePd",
  "functional": "GGA-PBE",
  "state": "relaxed",
  "space_group": "F-43m, No. 216",
  "formation_enthalpy_0k_ev_per_fu": -1.87,
  "energy_ev_per_fu": -17.76,
  "cell": [[4.8453, 0.0000, 0.0000], [2.4226, 4.1961, 0.0000], [2.4226, 1.3987, 3.9562]],
  "species": ["Na", "Pd", "Ge", "Nd"],
  "frac_coords": [[0.0000, 0.0000, 0.0000], [0.5000, 0.5000, 0.5000], [0.2500, 0.2500, 0.2500], [0.7500, 0.7500, 0.7500]]
}

Entry 3:
{
  "formula": "NaNd2Ge3Pd4",
  "functional": "GGA-PBE",
  "state": "relaxed",
  "space_group": "P-4m2, No. 115",
  "formation_enthalpy_0k_ev_per_fu": -6.97,
  "energy_ev_per_fu": -52.45,
  "cell": [[-2.8001, 2.7087, 1.8500], [-0.4810, -2.7452, 3.2913], [8.0291, 4.7771, 5.1579]],
  "species": ["Pd", "Pd", "Pd", "Pd", "Nd", "Nd", "Ge", "Ge", "Ge", "Na"],
  "frac_coords": [[0.0000, 0.5000, 0.3578], [0.5000, 0.0000, 0.6422], [0.0000, 0.0000, 0.0000], [0.5000, 0.5000, 0.0000], [0.0000, 0.5000, 0.7633], [0.5000, 0.0000, 0.2367], [0.5000, 0.0000, 0.8723], [0.0000, 0.0000, 0.5000], [0.0000, 0.5000, 0.1277], [0.5000, 0.5000, 0.5000]]
}

Entry 4:
{
  "formula": "NaPrNdGe",
  "functional": "GGA-PBE",
  "state": "relaxed",
  "space_group": "F-43m, No. 216",
  "formation_enthalpy_0k_ev_per_fu": -1.09,
  "energy_ev_per_fu": -16.57,
  "cell": [[5.3258, 0.0000, 0.0000], [2.6629, 4.6122, 0.0000], [2.6629, 1.5374, 4.3485]],
  "species": ["Ge", "Na", "Nd", "Pr"],
  "frac_coords": [[0.0000, 0.0000, 0.0000], [0.5000, 0.5000, 0.5000], [0.7500, 0.7500, 0.7500], [0.2500, 0.2500, 0.2500]]
}

Entry 5:
{
  "formula": "NaNd2Ge3Pt4",
  "functional": "GGA-PBE",
  "state": "relaxed",
  "space_group": "P-4m2, No. 115",
  "formation_enthalpy_0k_ev_per_fu": -7.99,
  "energy_ev_per_fu": -56.86,
  "cell": [[4.3220, 0.0000, 0.0000], [0.0000, 4.3220, 0.0000], [0.0000, 0.0000, 10.6292]],
  "species": ["Nd", "Nd", "Pt", "Pt", "Pt", "Pt", "Ge", "Ge", "Ge", "Na"],
  "frac_coords": [[0.5000, 0.0000, 0.2418], [0.0000, 0.5000, 0.7582], [0.0000, 0.0000, 0.0000], [0.5000, 0.0000, 0.6441], [0.0000, 0.5000, 0.3559], [0.5000, 0.5000, 0.0000], [0.0000, 0.5000, 0.1272], [0.5000, 0.0000, 0.8728], [0.0000, 0.0000, 0.5000], [0.5000, 0.5000, 0.5000]]
}

Entry 6:
{
  "formula": "NaNd3GeS7",
  "functional": "GGA-PBE",
  "state": "relaxed",
  "space_group": "P6_3, No. 173",
  "energy_ev_per_fu": -67.55,
  "e_form_raw_mev_per_atom": -1535,
  "cell": [[10.3073, 0.0000, 0.0000], [-5.1536, 8.9264, 0.0000], [0.0000, 0.0000, 5.8582]],
  "species": ["Nd", "Nd", "Nd", "Nd", "Nd", "Nd", "Na", "Na", "S", "S", "S", "S", "S", "S", "S", "S", "S", "S", "S", "S", "S", "S", "Ge", "Ge"],
  "frac_coords": [[0.2335, 0.8732, 0.2497], [0.7665, 0.1268, 0.7497], [0.1268, 0.3603, 0.2497], [0.8732, 0.6397, 0.7497], [0.6397, 0.7665, 0.2497], [0.3603, 0.2335, 0.7497], [0.0000, 0.0000, 0.9797], [0.0000, 0.0000, 0.4797], [0.6667, 0.3333, 0.9569], [0.5878, 0.4811, 0.4903], [0.8933, 0.4122, 0.4903], [0.2589, 0.1671, 0.2277], [0.9082, 0.7411, 0.2277], [0.4122, 0.5189, 0.9903], [0.8329, 0.0918, 0.2277], [0.1671, 0.9082, 0.7277], [0.7411, 0.8329, 0.7277], [0.1067, 0.5878, 0.9903], [0.3333, 0.6667, 0.4569], [0.5189, 0.1067, 0.4903], [0.0918, 0.2589, 0.7277], [0.4811, 0.8933, 0.9903], [0.3333, 0.6667, 0.8331], [0.6667, 0.3333, 0.3331]]
}

Entry 7:
{
  "formula": "Na2NdZnGe2",
  "functional": "GGA-PBE",
  "state": "relaxed",
  "space_group": "Pmc2_1, No. 26",
  "formation_enthalpy_0k_ev_per_fu": -2.10,
  "energy_ev_per_fu": -20.01,
  "cell": [[-1.8653, -3.2952, 2.3906], [-2.6610, -3.0212, -6.2407], [7.1222, -4.6142, -0.8030]],
  "species": ["Na", "Na", "Na", "Na", "Nd", "Nd", "Zn", "Zn", "Ge", "Ge", "Ge", "Ge"],
  "frac_coords": [[0.0000, 0.3404, 0.1509], [0.5000, 0.0188, 0.0829], [0.0000, 0.8404, 0.8491], [0.5000, 0.5188, 0.9171], [0.0000, 0.0047, 0.4572], [0.0000, 0.5047, 0.5428], [0.5000, 0.1568, 0.6858], [0.5000, 0.6568, 0.3142], [0.5000, 0.2894, 0.3863], [0.5000, 0.7894, 0.6137], [0.0000, 0.7355, 0.1868], [0.0000, 0.2355, 0.8132]]
}

Entry 8:
{
  "formula": "NaNi3Ge",
  "functional": "GGA-PBE",
  "state": "relaxed",
  "space_group": "Pm-3m, No. 221",
  "de_polymorph_ev_per_atom": 0.000,
  "formation_enthalpy_0k_ev_per_fu": 2.05,
  "energy_ev_per_fu": -21.23,
  "cell": [[-1.4858, 3.9184, 1.4665], [-4.1580, -1.5554, -0.0569], [0.4635, -1.3924, 4.1902]],
  "species": ["Na", "Ni", "Ni", "Ni", "Ge"],
  "frac_coords": [[0.5000, 0.5000, 0.5000], [0.0000, 0.0000, 0.5000], [0.0000, 0.5000, 0.0000], [0.5000, 0.0000, 0.0000], [0.0000, 0.0000, 0.0000]]
}

Entry 9:
{
  "formula": "NaNi3Ge",
  "functional": "GGA-PBE",
  "state": "relaxed",
  "space_group": "Pm-3m, No. 221",
  "de_polymorph_ev_per_atom": 1.061,
  "formation_enthalpy_0k_ev_per_fu": 7.36,
  "energy_ev_per_fu": -15.92,
  "cell": [[4.3107, 0.0000, 0.0000], [0.0000, 4.3107, 0.0000], [0.0000, 0.0000, 4.3107]],
  "species": ["Na", "Ge", "Ni", "Ni", "Ni"],
  "frac_coords": [[0.0000, 0.0000, 0.0000], [0.5000, 0.5000, 0.5000], [0.0000, 0.5000, 0.0000], [0.0000, 0.0000, 0.5000], [0.5000, 0.0000, 0.0000]]
}

Entry 10:
{
  "formula": "NaNi3Ge2",
  "functional": "GGA-PBE",
  "state": "relaxed",
  "space_group": "P6mm, No. 183",
  "formation_enthalpy_0k_ev_per_fu": -1.43,
  "energy_ev_per_fu": -29.33,
  "cell": [[-2.7168, 1.9104, 1.7536], [-3.6046, -2.7989, -2.5353], [1.8172, -1.6464, 4.6089]],
  "species": ["Ge", "Ge", "Ni", "Ni", "Ni", "Na"],
  "frac_coords": [[0.5552, 0.6667, 0.3333], [0.5552, 0.3333, 0.6667], [0.0552, 0.5000, 0.0000], [0.0552, 0.5000, 0.5000], [0.0552, 0.0000, 0.5000], [0.5538, 0.0000, 0.0000]]
}

Entry 11:
{
  "formula": "NaNi2Ge2",
  "functional": "GGA-PBE",
  "state": "relaxed",
  "space_group": "I4/mmm, No. 139",
  "de_polymorph_ev_per_atom": 0.000,
  "formation_enthalpy_0k_ev_per_fu": -1.14,
  "energy_ev_per_fu": -23.26,
  "cell": [[-0.0977, 1.9884, -3.5088], [-0.9301, -3.4263, -1.9157], [-5.4385, 0.2380, -2.0328]],
  "species": ["Na", "Ni", "Ni", "Ge", "Ge"],
  "frac_coords": [[0.0000, 0.0000, 0.0000], [0.2500, 0.7500, 0.5000], [0.7500, 0.2500, 0.5000], [0.3713, 0.3713, 0.2574], [0.6287, 0.6287, 0.7426]]
}

Entry 12:
{
  "formula": "Na2NiGe2",
  "functional": "GGA-PBE",
  "state": "relaxed",
  "space_group": "R-3m, No. 166",
  "de_polymorph_ev_per_atom": 0.000,
  "formation_enthalpy_0k_ev_per_fu": -0.65,
  "energy_ev_per_fu": -18.30,
  "cell": [[3.8451, 0.0000, 1.1038], [1.7641, 3.4166, 1.1038], [-0.6111, -0.3722, 9.3778]],
  "species": ["Ni", "Ge", "Ge", "Na", "Na"],
  "frac_coords": [[0.0000, 0.0000, 0.0000], [0.6948, 0.6948, 0.9156], [0.3052, 0.3052, 0.0844], [0.5679, 0.5679, 0.2962], [0.4321, 0.4321, 0.7038]]
}

Entry 13:
{
  "formula": "NaNiGe",
  "functional": "GGA-PBE",
  "state": "relaxed",
  "space_group": "Pmmn, No. 59",
  "formation_enthalpy_0k_ev_per_fu": -0.65,
  "energy_ev_per_fu": -12.37,
  "cell": [[-3.1308, 4.5217, 5.4424], [0.9463, -2.8371, 2.9037], [4.0366, 0.2291, -1.0907]],
  "species": ["Ni", "Ni", "Ge", "Ge", "Na", "Na"],
  "frac_coords": [[0.2302, 0.7006, 0.1333], [0.2311, 0.2009, 0.6340], [0.0586, 0.7012, 0.4615], [0.4029, 0.2006, 0.3057], [0.5715, 0.7004, 0.9739], [0.8900, 0.2014, 0.7926]]
}

Entry 14:
{
  "formula": "NaNiGe",
  "functional": "GGA-PBE",
  "state": "relaxed",
  "space_group": "Amm2, No. 38",
  "formation_enthalpy_0k_ev_per_fu": -0.54,
  "energy_ev_per_fu": -12.25,
  "cell": [[-4.5485, -2.8349, -2.2419], [0.0940, -3.2613, 3.9314], [-1.2602, 2.7947, 2.3487]],
  "species": ["Ni", "Ni", "Ge", "Ge", "Na", "Na"],
  "frac_coords": [[0.2318, 0.7008, 0.4766], [0.2319, 0.2006, 0.4766], [0.3519, 0.4508, 0.0365], [0.1081, 0.9508, 0.9147], [0.7945, 0.4510, 0.7562], [0.6660, 0.9510, 0.1929]]
}

Entry 15:
{
  "formula": "Na2NiGe2",
  "functional": "GGA-PBE",
  "state": "relaxed",
  "space_group": "P4/mbm, No. 127",
  "de_polymorph_ev_per_atom": 0.030,
  "formation_enthalpy_0k_ev_per_fu": -0.49,
  "energy_ev_per_fu": -18.15,
  "cell": [[6.2530, 0.0000, 0.0000], [0.0000, 6.2530, 0.0000], [0.0000, 0.0000, 5.0024]],
  "species": ["Ge", "Ge", "Ge", "Ge", "Ni", "Ni", "Na", "Na", "Na", "Na"],
  "frac_coords": [[0.6451, 0.1451, 0.0000], [0.1451, 0.3549, 0.0000], [0.3549, 0.8549, 0.0000], [0.8549, 0.6451, 0.0000], [0.0000, 0.0000, 0.0000], [0.5000, 0.5000, 0.0000], [0.1768, 0.6768, 0.5000], [0.8232, 0.3232, 0.5000], [0.3232, 0.1768, 0.5000], [0.6768, 0.8232, 0.5000]]
}

Entry 16:
{
  "formula": "NaNi2Ge2",
  "functional": "GGA-PBE",
  "state": "relaxed",
  "space_group": "P4/mbm, No. 127",
  "de_polymorph_ev_per_atom": 0.085,
  "formation_enthalpy_0k_ev_per_fu": -0.72,
  "energy_ev_per_fu": -22.83,
  "cell": [[7.3200, 0.0000, 0.0000], [0.0000, 7.3200, 0.0000], [0.0000, 0.0000, 2.7283]],
  "species": ["Ge", "Ge", "Ge", "Ge", "Ni", "Ni", "Ni", "Ni", "Na", "Na"],
  "frac_coords": [[0.8416, 0.3416, 0.5000], [0.3416, 0.1584, 0.5000], [0.6584, 0.8416, 0.5000], [0.1584, 0.6584, 0.5000], [0.6318, 0.1318, 0.0000], [0.8682, 0.6318, 0.0000], [0.1318, 0.3682, 0.0000], [0.3682, 0.8682, 0.0000], [0.0000, 0.0000, 0.0000], [0.5000, 0.5000, 0.0000]]
}

Entry 17:
{
  "formula": "NaNi2Ge4",
  "functional": "GGA-PBE",
  "state": "relaxed",
  "space_group": "Pnma, No. 62",
  "formation_enthalpy_0k_ev_per_fu": -1.19,
  "energy_ev_per_fu": -32.54,
  "cell": [[-2.0442, -2.0324, -2.9087], [5.7203, -1.5962, -2.9047], [0.7714, -13.8177, 9.1124]],
  "species": ["Ge", "Ge", "Ge", "Ge", "Ge", "Ge", "Ge", "Ge", "Ge", "Ge", "Ge", "Ge", "Ge", "Ge", "Ge", "Ge", "Ni", "Ni", "Ni", "Ni", "Ni", "Ni", "Ni", "Ni", "Na", "Na", "Na", "Na"],
  "frac_coords": [[0.2500, 0.4698, 0.4354], [0.7500, 0.3224, 0.3169], [0.2500, 0.2353, 0.1932], [0.2500, 0.8224, 0.1831], [0.7500, 0.1776, 0.8169], [0.7500, 0.9698, 0.0646], [0.2500, 0.6776, 0.6831], [0.7500, 0.7647, 0.8068], [0.7500, 0.5302, 0.5646], [0.7500, 0.6283, 0.9668], [0.2500, 0.0302, 0.9354], [0.7500, 0.7353, 0.3068], [0.2500, 0.3717, 0.0332], [0.2500, 0.2647, 0.6932], [0.7500, 0.8717, 0.4668], [0.2500, 0.1283, 0.5332], [0.2500, 0.7484, 0.5333], [0.7500, 0.2484, 0.9667], [0.7500, 0.0338, 0.2122], [0.2500, 0.9662, 0.7878], [0.7500, 0.4662, 0.7122], [0.2500, 0.7516, 0.0333], [0.7500, 0.2516, 0.4667], [0.2500, 0.5338, 0.2878], [0.7500, 0.5193, 0.1439], [0.2500, 0.4807, 0.8561], [0.2500, 0.0193, 0.3561], [0.7500, 0.9807, 0.6439]]
}

Entry 18:
{
  "formula": "NaNi4Ge12",
  "functional": "GGA-PBE",
  "state": "relaxed",
  "space_group": "Im-3, No. 204",
  "formation_enthalpy_0k_ev_per_fu": -1.01,
  "energy_ev_per_fu": -80.86,
  "cell": [[7.3041, 0.0000, 0.0000], [-2.4347, 6.8864, 0.0000], [-2.4347, -3.4432, 5.9638]],
  "species": ["Ge", "Ge", "Ge", "Ge", "Ge", "Ge", "Ge", "Ge", "Ge", "Ge", "Ge", "Ge", "Ni", "Ni", "Ni", "Ni", "Na"],
  "frac_coords": [[0.1845, 0.8397, 0.3448], [0.8155, 0.1603, 0.6552], [0.6552, 0.4949, 0.8397], [0.3448, 0.1845, 0.8397], [0.4949, 0.8397, 0.6552], [0.1603, 0.3448, 0.5051], [0.6552, 0.8155, 0.1603], [0.8397, 0.6552, 0.4949], [0.1603, 0.6552, 0.8155], [0.3448, 0.5051, 0.1603], [0.5051, 0.1603, 0.3448], [0.8397, 0.3448, 0.1845], [0.5000, 0.5000, 0.5000], [0.0000, 0.5000, 0.0000], [0.0000, 0.0000, 0.5000], [0.5000, 0.0000, 0.0000], [0.0000, 0.0000, 0.0000]]
}

Entry 19:
{
  "formula": "NaNi2Ge3",
  "functional": "GGA-PBE",
  "state": "relaxed",
  "space_group": "Cmcm, No. 63",
  "formation_enthalpy_0k_ev_per_fu": -0.94,
  "energy_ev_per_fu": -27.68,
  "cell": [[5.1463, 0.0000, 0.0000], [0.0000, 6.3796, -0.1260], [0.0000, -1.4050, 6.2242]],
  "species": ["Ge", "Ge", "Ge", "Ge", "Ge", "Ge", "Ni", "Ni", "Ni", "Ni", "Na", "Na"],
  "frac_coords": [[0.2500, 0.9403, 0.9403], [0.7500, 0.0840, 0.4696], [0.2500, 0.5304, 0.9160], [0.2500, 0.9160, 0.5304], [0.7500, 0.0597, 0.0597], [0.7500, 0.4696, 0.0840], [0.5000, 0.7904, 0.2096], [0.5000, 0.2096, 0.7904], [0.0000, 0.2096, 0.7904], [0.0000, 0.7904, 0.2096], [0.7500, 0.6409, 0.6409], [0.2500, 0.3591, 0.3591]]
}

Entry 20:
{
  "formula": "NaNi2Ge2",
  "functional": "GGA-PBE",
  "state": "relaxed",
  "space_group": "I4/mmm, No. 139",
  "de_polymorph_ev_per_atom": 0.158,
  "formation_enthalpy_0k_ev_per_fu": -0.35,
  "energy_ev_per_fu": -22.47,
  "cell": [[-0.7674, -3.3082, 2.4233], [-0.1689, -2.4378, -3.3814], [4.2332, -3.6992, -0.1182]],
  "species": ["Na", "Ni", "Ni", "Ge", "Ge"],
  "frac_coords": [[0.0000, 0.0000, 0.0000], [0.6260, 0.6260, 0.7479], [0.3740, 0.3740, 0.2521], [0.7500, 0.2500, 0.5000], [0.2500, 0.7500, 0.5000]]
}